Entry 1:
First-principles (GGA-PBE) data for Li3Pa2AuS6 after structural relaxation, as listed in Alexandria.

Cell and atoms, written as extended XYZ:
```
12
Lattice="3.908 0.000 0.000 0.000 7.640 0.073 -1.954 -2.412 7.995" Properties=species:S:1:pos:R:3 pbc="T T T"
S 0.000 1.709 5.288
S 0.000 5.512 5.295
S 1.954 -0.415 7.921
S 1.954 3.519 2.781
S 0.000 5.642 0.148
S 1.954 -0.285 2.774
Au 1.954 0.000 0.000
Li 1.954 3.820 0.037
Li 1.954 -0.227 5.398
Li 0.000 5.455 2.671
Pa 0.000 1.566 2.480
Pa 1.954 3.662 5.589
```

Results
* magnetization: 2.04 μB per formula unit
* raw formation energy: -120.44 kJ per mole of atoms
* theoretical density: 6.05 g/cm3

=====

Entry 2:
First-principles (GGA-PBE) data for LiPaSbAu after structural relaxation, as listed in Alexandria.

Cell and atoms, written as extended XYZ:
```
4
Lattice="-1.599 3.986 -2.654 -0.330 -0.285 -5.030 -4.528 -0.105 -2.231" Properties=species:S:1:pos:R:3 pbc="T T T"
Au 0.000 0.000 0.000
Sb -3.229 1.798 -4.957
Li -1.614 0.899 -2.479
Pa -4.843 2.697 -7.436
```

Results
* magnetization: 1.39 μB per formula unit
* raw formation energy: -38.35 kJ per mole of atoms
* theoretical density: 10.16 g/cm3